Record 1
{
  "formula": "TiMoP2O",
  "functional": "GGA+U",
  "state": "relaxed",
  "lattice": [[-1.724, 4.539, -0.142], [-3.313, -1.153, 3.360], [2.387, 0.991, 2.694]],
  "species": ["Ti", "P", "P", "Mo", "O"],
  "fractional_positions": [[0.500, 0.500, 0.500], [0.000, 0.500, 0.000], [0.500, 0.000, 0.000], [0.000, 0.000, 0.000], [0.000, 0.000, 0.500]],
  "spacegroup": "P4/mmm, No. 123",
  "dos_ef_per_ev_cell": 4.0
}

Record 2
{
  "formula": "TiMoP3O12",
  "functional": "GGA+U",
  "state": "relaxed",
  "lattice": [[8.858, 0.013, 0.009], [4.569, 7.589, 0.009], [4.569, 2.587, 7.134]],
  "species": ["O", "O", "O", "O", "Ti", "O", "O", "Ti", "O", "O", "Mo", "P", "O", "Mo", "P", "P", "O", "O", "P", "P", "O", "O", "O", "O", "O", "O", "O", "O", "O", "O", "O", "O", "O", "P"],
  "fractional_positions": [[0.782, 0.009, 0.633], [0.924, 0.060, 0.287], [0.424, 0.787, 0.560], [0.633, 0.782, 0.009], [0.640, 0.640, 0.640], [0.999, 0.362, 0.219], [0.133, 0.509, 0.282], [0.140, 0.140, 0.140], [0.362, 0.219, 0.999], [0.580, 0.213, 0.438], [0.858, 0.858, 0.858], [0.531, 0.253, 0.963], [0.438, 0.580, 0.213], [0.358, 0.358, 0.358], [0.963, 0.531, 0.253], [0.031, 0.463, 0.753], [0.499, 0.719, 0.862], [0.787, 0.560, 0.424], [0.753, 0.031, 0.463], [0.463, 0.753, 0.031], [0.009, 0.633, 0.782], [0.213, 0.438, 0.580], [0.060, 0.287, 0.924], [0.282, 0.133, 0.509], [0.219, 0.999, 0.362], [0.938, 0.713, 0.080], [0.509, 0.282, 0.133], [0.862, 0.499, 0.719], [0.713, 0.080, 0.938], [0.080, 0.938, 0.713], [0.560, 0.424, 0.787], [0.719, 0.862, 0.499], [0.287, 0.924, 0.060], [0.253, 0.963, 0.531]],
  "spacegroup": "R3c, No. 161"
}

Record 3
{
  "formula": "TiZnMoP3O12",
  "functional": "GGA+U",
  "state": "relaxed",
  "lattice": [[8.669, -0.018, -0.013], [4.259, 7.550, -0.013], [4.259, 2.481, 7.131]],
  "species": ["O", "Mo", "O", "Mo", "P", "O", "Zn", "O", "O", "O", "O", "P", "O", "O", "O", "Zn", "O", "O", "P", "O", "P", "Ti", "O", "O", "O", "O", "O", "O", "O", "O", "P", "P", "O", "Ti", "O", "O"],
  "fractional_positions": [[0.736, 0.103, 0.934], [0.858, 0.858, 0.858], [0.236, 0.434, 0.603], [0.358, 0.358, 0.358], [0.042, 0.449, 0.759], [0.417, 0.753, 0.552], [0.000, 0.000, 0.000], [0.833, 0.002, 0.594], [0.001, 0.377, 0.193], [0.193, 0.001, 0.377], [0.603, 0.236, 0.434], [0.449, 0.759, 0.042], [0.934, 0.736, 0.103], [0.052, 0.253, 0.917], [0.253, 0.917, 0.052], [0.500, 0.500, 0.500], [0.502, 0.333, 0.094], [0.594, 0.833, 0.002], [0.759, 0.042, 0.449], [0.877, 0.501, 0.693], [0.259, 0.949, 0.542], [0.146, 0.146, 0.146], [0.501, 0.693, 0.877], [0.377, 0.193, 0.001], [0.333, 0.094, 0.502], [0.693, 0.877, 0.501], [0.002, 0.594, 0.833], [0.094, 0.502, 0.333], [0.552, 0.417, 0.753], [0.434, 0.603, 0.236], [0.949, 0.542, 0.259], [0.542, 0.259, 0.949], [0.917, 0.052, 0.253], [0.646, 0.646, 0.646], [0.103, 0.934, 0.736], [0.753, 0.552, 0.417]],
  "spacegroup": "R3c, No. 161"
}

Record 4
{
  "formula": "TlMoPO2",
  "functional": "GGA+U",
  "state": "relaxed",
  "lattice": [[3.946, 0.000, 0.000], [0.000, 3.946, 0.000], [0.000, 0.000, 5.310]],
  "species": ["P", "O", "O", "Mo", "Tl"],
  "fractional_positions": [[0.000, 0.000, 0.500], [0.500, 0.000, 0.000], [0.000, 0.500, 0.000], [0.000, 0.000, 0.000], [0.500, 0.500, 0.500]],
  "spacegroup": "P4/mmm, No. 123",
  "dos_ef_per_ev_cell": 2.1
}

The evaluated raw total energy for the records listed, in turn: -30.78 -258.03 -263.18 -28.32 eV for the cell shown.